DFT (SCAN) results for MgAgSb2I at its PBEsol-relaxed geometry.

a b c (Å): 5.3036 5.3036 5.5842
angles (deg): 90.00 90.00 90.00
With the nearest neighbours (Å) after each atom.
Space group P4/mmm (No. 123)
Symmetry-distinct sites (fractional):
Mg 0.0000 0.0000 0.0000 x1  4 I 3.75, 8 Sb 3.85
Ag 0.5000 0.5000 0.5000 x1  4 Sb 2.65, 2 I 2.79
Sb 0.0000 0.5000 0.5000 x2  2 Ag 2.65
I 0.5000 0.5000 0.0000 x1  2 Ag 2.79

Properties
As for the magnetization: 0.86 μB per cell. The density of states at the Fermi level is 4.2 states/eV/cell. The value obtained for the electronic total energy is -28.97 eV per atom. The uncorrected formation energy comes out at 0.5516 eV per atom.